1.
A plane-wave DFT calculation with GGA-PBEsol was carried out for a geometry-optimized Ba2HgC structure.

```
data_Ba2HgC
_chemical_formula_sum 'Ba8 Hg4 C4'
_symmetry_space_group_name_H-M 'F m -3 m'
_symmetry_Int_Tables_number 225
_symmetry_space_group_name_Hall '-F 4 2 3'
_cell_length_a 7.6291
_cell_length_b 7.6291
_cell_length_c 7.6291
_cell_angle_alpha 90.00
_cell_angle_beta 90.00
_cell_angle_gamma 90.00
loop_
_atom_site_label
_atom_site_fract_x
_atom_site_fract_y
_atom_site_fract_z
Ba1 0.2500 0.2500 0.2500
Hg1 0.0000 0.0000 0.0000
C1 0.0000 0.0000 0.5000
```

The calculation puts the total energy at -3.076 eV/atom. As for the size of the total moment: 0.001 μB per formula unit.

---

2.
A plane-wave DFT calculation with GGA-PBEsol was carried out for a geometry-optimized Zr2InGa2 structure.

```
data_Zr2InGa2
_chemical_formula_sum 'Zr4 In2 Ga4'
_symmetry_space_group_name_H-M 'P 4/m b m'
_symmetry_Int_Tables_number 127
_symmetry_space_group_name_Hall '-P 4 2ab'
_cell_length_a 6.9067
_cell_length_b 6.9067
_cell_length_c 3.9442
_cell_angle_alpha 90.00
_cell_angle_beta 90.00
_cell_angle_gamma 90.00
loop_
_atom_site_label
_atom_site_fract_x
_atom_site_fract_y
_atom_site_fract_z
Zr1 0.1761 0.3239 0.0000
In1 0.0000 0.0000 0.5000
Ga1 0.1237 0.6237 0.5000
```

The calculation puts the total energy at -6.118 eV/atom. As for the size of the total moment: 0.000 μB per formula unit.

---

3.
A plane-wave DFT calculation with GGA-PBEsol was carried out for a geometry-optimized LiVP4O12 structure.

```
data_LiVP4O12
_chemical_formula_sum 'Li4 V4 P16 O48'
_symmetry_space_group_name_H-M 'C 1 2/m 1'
_symmetry_Int_Tables_number 12
_cell_length_a 16.4408
_cell_length_b 11.4702
_cell_length_c 4.8648
_cell_angle_alpha 90.00
_cell_angle_beta 104.14
_cell_angle_gamma 90.00
loop_
_symmetry_equiv_pos_as_xyz
'x,y,z'
'-x,-y,-z'
'-x,y,-z'
'x,-y,z'
'x+1/2,y+1/2,z'
'-x+1/2,-y+1/2,-z'
'-x+1/2,y+1/2,-z'
'x+1/2,-y+1/2,z'
loop_
_atom_site_label
_atom_site_fract_x
_atom_site_fract_y
_atom_site_fract_z
Li1 0.2500 0.2500 0.0000
V1 0.1760 0.0000 0.7380
P1 0.0911 0.1588 0.1868
P2 0.1589 0.3783 0.4170
O1 0.0000 0.1338 0.0000
O2 0.0921 0.2977 0.2008
O3 0.0981 0.1098 0.4764
O4 0.1102 0.5000 0.3438
O5 0.1536 0.1182 0.0264
O6 0.1693 0.3435 0.7148
O7 0.2374 0.3830 0.3013
```

The formation energy from raw total energies comes out at -2.140 eV/atom. The calculation puts the total energy at -7.571 eV/atom. The relative energy among the computed polymorphs comes out at 40.6 meV/atom. As for the size of the total moment: 2.000 μB per formula unit.

---

4.
A plane-wave DFT calculation with GGA-PBEsol was carried out for a geometry-optimized Li2CaRh structure.

```
data_Li2CaRh
_chemical_formula_sum 'Li2 Ca1 Rh1'
_symmetry_space_group_name_H-M 'P 4/m m m'
_symmetry_Int_Tables_number 123
_symmetry_space_group_name_Hall '-P 4 2'
_cell_length_a 3.4561
_cell_length_b 3.4561
_cell_length_c 5.8077
_cell_angle_alpha 90.00
_cell_angle_beta 90.00
_cell_angle_gamma 90.00
loop_
_atom_site_label
_atom_site_fract_x
_atom_site_fract_y
_atom_site_fract_z
Li1 0.0000 0.0000 0.1839
Ca1 0.5000 0.5000 0.5000
Rh1 0.5000 0.5000 0.0000
```

The calculation puts the total energy at -3.500 eV/atom. The relative energy among the computed polymorphs comes out at 142.7 meV/atom. As for the size of the total moment: 0.001 μB per formula unit.

---

5.
A plane-wave DFT calculation with GGA-PBEsol was carried out for a geometry-optimized MnAg2Se structure.

```
data_MnAg2Se
_chemical_formula_sum 'Mn1 Ag2 Se1'
_symmetry_space_group_name_H-M 'P 4/m m m'
_symmetry_Int_Tables_number 123
_symmetry_space_group_name_Hall '-P 4 2'
_cell_length_a 3.8702
_cell_length_b 3.8702
_cell_length_c 4.5336
_cell_angle_alpha 90.00
_cell_angle_beta 90.00
_cell_angle_gamma 90.00
loop_
_atom_site_label
_atom_site_fract_x
_atom_site_fract_y
_atom_site_fract_z
Mn1 0.0000 0.0000 0.0000
Ag1 0.0000 0.5000 0.5000
Se1 0.5000 0.5000 0.0000
```

The formation energy from raw total energies comes out at 0.149 eV/atom. The calculation puts the total energy at -4.909 eV/atom. As for the size of the total moment: 4.356 μB per formula unit.

---

6.
A plane-wave DFT calculation with GGA-PBEsol was carried out for a geometry-optimized Al2Ag structure.

```
data_Al2Ag
_chemical_formula_sum 'Al8 Ag4'
_symmetry_space_group_name_H-M 'C m c m'
_symmetry_Int_Tables_number 63
_symmetry_space_group_name_Hall '-C 2c 2'
_cell_length_a 4.0018
_cell_length_b 12.1242
_cell_length_c 4.0459
_cell_angle_alpha 90.00
_cell_angle_beta 90.00
_cell_angle_gamma 90.00
loop_
_atom_site_label
_atom_site_fract_x
_atom_site_fract_y
_atom_site_fract_z
Al1 0.0000 0.0809 0.2500
Al2 0.0000 0.2491 0.7500
Ag1 0.0000 0.4126 0.2500
```

The calculation puts the total energy at -3.834 eV/atom. As for the size of the total moment: 0.000 μB per formula unit.